# 1
DFT (PBE) results for a relaxed structure of SrEu2Mg.

Cell and atoms, written as POSCAR:
```
SrEu2Mg
1.0
-3.094 -3.957 3.414
0.084 -5.915 -1.377
2.977 -3.907 3.571
Sr Mg Eu
1 1 2
direct
0.000 0.000 0.000
0.500 0.500 0.500
0.250 0.250 0.250
0.750 0.750 0.750
```

energy of formation = 0.2 eV per formula unit
excess energy over the best structure of this formula in the dataset = 7.6 kJ/mol of atoms
symmetry = Fm-3m

# 2
DFT (PBE) results for a relaxed structure of Sr2EuMg.

Cell and atoms, written as POSCAR:
```
Sr2EuMg
1.0
4.976 0.000 0.000
0.000 5.858 0.000
0.000 0.000 5.858
Sr Mg Eu
2 1 1
direct
0.000 0.000 0.500
0.000 0.500 0.000
0.500 0.500 0.500
0.500 0.000 0.000
```

energy of formation = 0.2 eV per formula unit
excess energy over the best structure of this formula in the dataset = 3.6 kJ/mol of atoms
symmetry = P4/mmm

# 3
DFT (PBE) results for a relaxed structure of SrEuTmMg.

Cell and atoms, written as POSCAR:
```
SrEuTmMg
1.0
5.824 0.000 0.000
2.912 5.044 0.000
2.912 1.681 4.755
Mg Tm Sr Eu
1 1 1 1
direct
0.750 0.750 0.750
0.000 0.000 0.000
0.500 0.500 0.500
0.250 0.250 0.250
```

energy of formation = 0.6 eV per formula unit
symmetry = F-43m

no.,ρ (g cm⁻³)
1,4.359
2,3.417
3,5.146